TaMnN2O | GGA+U | optimized geometry

a = 4.065 Å, b = 4.065 Å, c = 3.955 Å
α = 90.00°, β = 90.00°, γ = 90.00°
Element x y z (fractional)
Ta 0.000 0.000 0.000
Mn 0.500 0.500 0.500
N 0.000 0.500 0.000
N 0.500 0.000 0.000
O 0.000 0.000 0.500

Magnetization   4.7 μB per cell
DFT total energy   -8.777 eV/atom